Record 1
Here is crystalline HfMn2AsW at its relaxed geometry from the Alexandria database. Energies are from PBE.

a b c (Å): 4.508 4.508 5.262
angles (deg): 90.00 90.00 90.00
Fractional positions:
Hf 0.000 0.000 0.000
Mn 0.000 0.500 0.500
Mn 0.500 0.000 0.500
As 0.500 0.500 0.000
W 0.000 0.000 0.500

Values from the calculation:
Energy = -40.07 eV for the cell shown
Total moment = 4.56 Bohr magnetons per cell
Formation energy from the elements = 1.16 eV per atom
SG = P4/mmm

Record 2
Here is crystalline NbCd2Pd at its relaxed geometry from the Alexandria database. Energies are from PBE.

a b c (Å): 7.685 7.685 5.498
angles (deg): 90.00 90.00 90.00
Fractional positions:
Nb 0.000 0.000 0.000
Nb 0.000 0.500 0.250
Nb 0.500 0.000 0.750
Nb 0.500 0.500 0.500
Cd 0.231 0.250 0.625
Cd 0.250 0.731 0.875
Cd 0.250 0.769 0.375
Cd 0.269 0.250 0.125
Cd 0.731 0.750 0.125
Cd 0.750 0.231 0.375
Cd 0.750 0.269 0.875
Cd 0.769 0.750 0.625
Pd 0.000 0.000 0.500
Pd 0.000 0.500 0.750
Pd 0.500 0.000 0.250
Pd 0.500 0.500 0.000

Values from the calculation:
Energy = -61.66 eV for the cell shown
Total moment = 0.00 Bohr magnetons per cell
Formation energy from the elements = 0.42 eV per atom
SG = I-42d

Record 3
Here is crystalline GaW2Cl2 at its relaxed geometry from the Alexandria database. Energies are from PBE.

a b c (Å): 3.981 3.981 12.569
angles (deg): 90.00 90.00 90.00
Fractional positions:
Ga 0.000 0.000 0.000
Ga 0.500 0.500 0.500
W 0.000 0.500 0.250
W 0.000 0.500 0.750
W 0.500 0.000 0.250
W 0.500 0.000 0.750
Cl 0.000 0.000 0.367
Cl 0.000 0.000 0.633
Cl 0.500 0.500 0.133
Cl 0.500 0.500 0.867

Values from the calculation:
Energy = -55.46 eV for the cell shown
Total moment = 0.00 Bohr magnetons per cell
SG = I4/mmm
Formation energy from raw total energies = 979 meV/atom

Record 4
Here is crystalline Li2NiAs2 at its relaxed geometry from the Alexandria database. Energies are from PBE.

a b c (Å): 6.084 6.084 4.270
angles (deg): 90.00 90.00 90.00
Fractional positions:
Li 0.168 0.332 0.000
Li 0.332 0.832 0.000
Li 0.668 0.168 0.000
Li 0.832 0.668 0.000
Ni 0.000 0.000 0.500
Ni 0.500 0.500 0.500
As 0.146 0.646 0.500
As 0.354 0.146 0.500
As 0.646 0.854 0.500
As 0.854 0.354 0.500

Values from the calculation:
Energy = -42.90 eV for the cell shown
Total moment = 0.00 Bohr magnetons per cell
Formation energy from the elements = -0.51 eV per atom
SG = P4/mbm

Record 5
Here is crystalline LaNdTmZn at its relaxed geometry from the Alexandria database. Energies are from PBE.

a b c (Å): 3.633 3.633 8.839
angles (deg): 90.00 90.00 90.00
Fractional positions:
La 0.000 0.000 0.000
Nd 0.500 0.500 0.691
Tm 0.500 0.500 0.290
Zn 0.000 0.000 0.471

Values from the calculation:
Energy = -16.03 eV for the cell shown
Total moment = 0.00 Bohr magnetons per cell
Formation energy from the elements = -0.15 eV per atom
SG = P4mm

Record 6
Here is crystalline Cd2In4Hg5 at its relaxed geometry from the Alexandria database. Energies are from PBE.

a b c (Å): 12.015 12.015 12.015
angles (deg): 165.20 135.87 46.79
Fractional positions:
Cd 0.116 0.116 0.000
Cd 0.884 0.884 0.000
In 0.250 0.250 0.000
In 0.323 0.000 0.323
In 0.677 0.000 0.677
In 0.750 0.750 0.000
Hg 0.000 0.500 0.500
Hg 0.179 0.857 0.321
Hg 0.464 0.143 0.321
Hg 0.536 0.857 0.679
Hg 0.821 0.143 0.679

Values from the calculation:
Energy = -13.60 eV for the cell shown
Total moment = 0.00 Bohr magnetons per cell
Formation energy from the elements = 0.06 eV per atom
SG = Immm

Record 7
Here is crystalline TlTeN2O at its relaxed geometry from the Alexandria database. Energies are from PBE.

a b c (Å): 4.333 4.333 4.103
angles (deg): 90.00 90.00 90.00
Fractional positions:
Tl 0.000 0.000 0.000
Te 0.500 0.500 0.500
N 0.000 0.500 0.000
N 0.500 0.000 0.000
O 0.000 0.000 0.500

Values from the calculation:
Energy = -18.76 eV for the cell shown
Total moment = 0.00 Bohr magnetons per cell
SG = P4/mmm
Formation energy from raw total energies = 1672 meV/atom

Record 8
Here is crystalline NaLiTlBi2 at its relaxed geometry from the Alexandria database. Energies are from PBE.

a b c (Å): 5.308 5.308 5.337
angles (deg): 90.00 90.00 90.00
Fractional positions:
Na 0.000 0.000 0.000
Li 0.500 0.500 0.500
Tl 0.500 0.500 0.000
Bi 0.000 0.500 0.500
Bi 0.500 0.000 0.500

Values from the calculation:
Energy = -13.74 eV for the cell shown
Total moment = 0.00 Bohr magnetons per cell
Formation energy from the elements = -0.07 eV per atom
SG = P4/mmm

Record 9
Here is crystalline Y2Ag3Hg4 at its relaxed geometry from the Alexandria database. Energies are from PBE.

a b c (Å): 4.948 4.948 9.406
angles (deg): 90.00 90.00 120.00
Fractional positions:
Y 0.333 0.667 0.270
Y 0.667 0.333 0.730
Ag 0.000 0.000 0.500
Ag 0.333 0.667 0.931
Ag 0.667 0.333 0.069
Hg 0.000 0.000 0.154
Hg 0.000 0.000 0.846
Hg 0.333 0.667 0.601
Hg 0.667 0.333 0.399

Values from the calculation:
Energy = -25.19 eV for the cell shown
Total moment = 0.00 Bohr magnetons per cell
Formation energy from the elements = -0.28 eV per atom
SG = P-3m1

Record 10
Here is crystalline MnNbHPd2 at its relaxed geometry from the Alexandria database. Energies are from PBE.

a b c (Å): 3.848 3.848 4.089
angles (deg): 90.00 90.00 90.00
Fractional positions:
Mn 0.000 0.000 0.000
Nb 0.500 0.500 0.000
H 0.000 0.000 0.500
Pd 0.000 0.500 0.500
Pd 0.500 0.000 0.500

Values from the calculation:
Energy = -33.41 eV for the cell shown
Total moment = 0.96 Bohr magnetons per cell
SG = P4/mmm

Record 11
Here is crystalline TbHfGe at its relaxed geometry from the Alexandria database. Energies are from PBE.

a b c (Å): 5.896 5.895 8.450
angles (deg): 90.00 110.36 90.00
Fractional positions:
Tb 0.176 0.000 0.353
Tb 0.324 0.500 0.647
Tb 0.676 0.500 0.353
Tb 0.824 0.000 0.647
Hf 0.250 0.250 0.000
Hf 0.250 0.750 0.000
Hf 0.750 0.250 0.000
Hf 0.750 0.750 0.000
Ge 0.127 0.500 0.256
Ge 0.373 0.000 0.744
Ge 0.627 0.000 0.256
Ge 0.873 0.500 0.744

Values from the calculation:
Energy = -84.35 eV for the cell shown
Total moment = 1.90 Bohr magnetons per cell
Formation energy from the elements = -0.63 eV per atom
SG = C2/m

Record 12
Here is crystalline CaMg2Tc at its relaxed geometry from the Alexandria database. Energies are from PBE.

a b c (Å): 10.922 3.107 5.332
angles (deg): 90.00 109.17 90.00
Fractional positions:
Ca 0.000 0.000 0.000
Ca 0.500 0.500 0.000
Mg 0.055 0.500 0.546
Mg 0.287 0.500 0.354
Mg 0.555 0.000 0.546
Mg 0.787 0.000 0.354
Tc 0.254 0.000 0.847
Tc 0.754 0.500 0.847

Values from the calculation:
Energy = -28.21 eV for the cell shown
Total moment = 0.49 Bohr magnetons per cell
Formation energy from the elements = 0.36 eV per atom
SG = Cm

Record 13
Here is crystalline Mn6GaCo at its relaxed geometry from the Alexandria database. Energies are from PBE.

a b c (Å): 4.062 4.062 5.893
angles (deg): 90.00 90.00 90.00
Fractional positions:
Mn 0.000 0.000 0.000
Mn 0.000 0.000 0.500
Mn 0.000 0.500 0.243
Mn 0.000 0.500 0.757
Mn 0.500 0.000 0.243
Mn 0.500 0.000 0.757
Ga 0.500 0.500 0.500
Co 0.500 0.500 0.000

Values from the calculation:
Energy = -64.67 eV for the cell shown
Total moment = 11.29 Bohr magnetons per cell
Formation energy from the elements = 0.06 eV per atom
SG = P4/mmm

Record 14
Here is crystalline Cr2BPb at its relaxed geometry from the Alexandria database. Energies are from PBE.

a b c (Å): 6.001 6.001 6.001
angles (deg): 90.00 90.00 90.00
Fractional positions:
Cr 0.250 0.250 0.250
Cr 0.250 0.250 0.750
Cr 0.250 0.750 0.250
Cr 0.250 0.750 0.750
Cr 0.750 0.250 0.250
Cr 0.750 0.250 0.750
Cr 0.750 0.750 0.250
Cr 0.750 0.750 0.750
B 0.000 0.000 0.000
B 0.000 0.500 0.500
B 0.500 0.000 0.500
B 0.500 0.500 0.000
Pb 0.000 0.000 0.500
Pb 0.000 0.500 0.000
Pb 0.500 0.000 0.000
Pb 0.500 0.500 0.500

Values from the calculation:
Energy = -98.65 eV for the cell shown
Total moment = 0.00 Bohr magnetons per cell
Formation energy from the elements = 1.24 eV per atom
SG = Fm-3m

Record 15
Here is crystalline MnFeOsRu2 at its relaxed geometry from the Alexandria database. Energies are from PBE.

a b c (Å): 4.287 4.287 4.298
angles (deg): 90.00 90.00 90.00
Fractional positions:
Mn 0.000 0.000 0.000
Fe 0.000 0.000 0.500
Os 0.500 0.500 0.000
Ru 0.000 0.500 0.500
Ru 0.500 0.000 0.500

Values from the calculation:
Energy = -39.98 eV for the cell shown
Total moment = 2.29 Bohr magnetons per cell
Formation energy from the elements = 1.49 eV per atom
SG = P4/mmm

Record 16
Here is crystalline CaPS2Cl at its relaxed geometry from the Alexandria database. Energies are from PBE.

a b c (Å): 5.243 5.243 5.656
angles (deg): 90.00 90.00 90.00
Fractional positions:
Ca 0.000 0.000 0.000
P 0.000 0.000 0.500
S 0.000 0.500 0.000
S 0.500 0.000 0.000
Cl 0.500 0.500 0.500

Values from the calculation:
Energy = -14.30 eV for the cell shown
Total moment = 2.37 Bohr magnetons per cell
SG = P4/mmm
Formation energy from raw total energies = 643 meV/atom

Record 17
Here is crystalline PrThMnN3 at its relaxed geometry from the Alexandria database. Energies are from PBE.

a b c (Å): 7.368 3.578 7.615
angles (deg): 90.00 95.34 90.00
Fractional positions:
Pr 0.149 0.250 0.170
Pr 0.851 0.750 0.830
Th 0.363 0.750 0.820
Th 0.637 0.250 0.180
Mn 0.070 0.250 0.592
Mn 0.930 0.750 0.408
N 0.127 0.250 0.849
N 0.148 0.750 0.545
N 0.402 0.750 0.134
N 0.598 0.250 0.866
N 0.852 0.250 0.455
N 0.873 0.750 0.151

Values from the calculation:
Energy = -105.48 eV for the cell shown
Total moment = 2.29 Bohr magnetons per cell
SG = P2_1/m
Formation energy from raw total energies = -1066 meV/atom

Record 18
Here is crystalline BaCoNi2 at its relaxed geometry from the Alexandria database. Energies are from PBE.

a b c (Å): 7.160 4.136 5.995
angles (deg): 90.00 113.71 90.00
Fractional positions:
Ba 0.000 0.000 0.000
Ba 0.500 0.500 0.000
Co 0.181 0.000 0.542
Co 0.681 0.500 0.542
Ni 0.002 0.500 0.505
Ni 0.319 0.500 0.455
Ni 0.502 0.000 0.505
Ni 0.819 0.000 0.455

Values from the calculation:
Energy = -40.44 eV for the cell shown
Total moment = 4.38 Bohr magnetons per cell
Formation energy from the elements = 0.09 eV per atom
SG = Cm

Record 19
Here is crystalline PrAgHg3 at its relaxed geometry from the Alexandria database. Energies are from PBE.

a b c (Å): 9.765 5.104 9.846
angles (deg): 90.00 90.00 90.00
Fractional positions:
Pr 0.249 0.250 0.003
Pr 0.251 0.750 0.503
Pr 0.749 0.250 0.497
Pr 0.751 0.750 0.997
Ag 0.120 0.250 0.330
Ag 0.380 0.750 0.830
Ag 0.620 0.250 0.170
Ag 0.880 0.750 0.670
Hg 0.070 0.250 0.617
Hg 0.088 0.750 0.862
Hg 0.127 0.750 0.168
Hg 0.373 0.250 0.668
Hg 0.412 0.250 0.362
Hg 0.430 0.750 0.117
Hg 0.570 0.250 0.883
Hg 0.588 0.750 0.638
Hg 0.627 0.750 0.332
Hg 0.873 0.250 0.832
Hg 0.912 0.250 0.138
Hg 0.930 0.750 0.383

Values from the calculation:
Energy = -39.37 eV for the cell shown
Total moment = 0.00 Bohr magnetons per cell
Formation energy from the elements = -0.26 eV per atom
SG = Pnma

Record 20
Here is crystalline Pm5Ga2Ir at its relaxed geometry from the Alexandria database. Energies are from PBE.

a b c (Å): 7.673 12.192 4.703
angles (deg): 90.00 90.00 90.00
Fractional positions:
Pm 0.000 0.000 0.000
Pm 0.145 0.291 0.000
Pm 0.185 0.578 0.500
Pm 0.315 0.078 0.500
Pm 0.355 0.791 0.000
Pm 0.500 0.500 0.000
Pm 0.645 0.209 0.000
Pm 0.685 0.922 0.500
Pm 0.815 0.422 0.500
Pm 0.855 0.709 0.000
Ga 0.071 0.834 0.500
Ga 0.429 0.334 0.500
Ga 0.571 0.666 0.500
Ga 0.929 0.166 0.500
Ir 0.000 0.500 0.000
Ir 0.500 0.000 0.000

Values from the calculation:
Energy = -85.79 eV for the cell shown
Total moment = 0.00 Bohr magnetons per cell
Formation energy from the elements = -0.53 eV per atom
SG = Pbam

Record 21
Here is crystalline HfAsSe2 at its relaxed geometry from the Alexandria database. Energies are from PBE.

a b c (Å): 3.584 3.584 26.199
angles (deg): 90.00 90.00 120.00
Fractional positions:
Hf 0.000 0.000 0.000
Hf 0.333 0.667 0.667
Hf 0.667 0.333 0.333
As 0.000 0.000 0.500
As 0.333 0.667 0.167
As 0.667 0.333 0.833
Se 0.000 0.000 0.398
Se 0.000 0.000 0.602
Se 0.333 0.667 0.064
Se 0.333 0.667 0.269
Se 0.667 0.333 0.731
Se 0.667 0.333 0.936

Values from the calculation:
Energy = -72.09 eV for the cell shown
Total moment = 0.00 Bohr magnetons per cell
SG = R-3m
Formation energy from raw total energies = -615 meV/atom

Record 22
Here is crystalline NaLa2TlS at its relaxed geometry from the Alexandria database. Energies are from PBE.

a b c (Å): 5.588 5.588 5.056
angles (deg): 90.00 90.00 90.00
Fractional positions:
Na 0.000 0.000 0.000
La 0.000 0.500 0.500
La 0.500 0.000 0.500
Tl 0.500 0.500 0.000
S 0.000 0.000 0.500

Values from the calculation:
Energy = -21.62 eV for the cell shown
Total moment = 0.00 Bohr magnetons per cell
SG = P4/mmm
Formation energy from raw total energies = -791 meV/atom

Record 23
Here is crystalline Ac2AlSb at its relaxed geometry from the Alexandria database. Energies are from PBE.

a b c (Å): 4.170 4.170 7.551
angles (deg): 90.00 90.00 90.00
Fractional positions:
Ac 0.000 0.000 0.247
Ac 0.000 0.000 0.753
Al 0.500 0.500 0.500
Sb 0.500 0.500 0.000

Values from the calculation:
Energy = -18.36 eV for the cell shown
Total moment = 0.00 Bohr magnetons per cell
SG = P4/mmm
Formation energy from raw total energies = -569 meV/atom

Record 24
Here is crystalline Sr2AlNi at its relaxed geometry from the Alexandria database. Energies are from PBE.

a b c (Å): 3.941 5.380 10.461
angles (deg): 90.00 90.00 90.00
Fractional positions:
Sr 0.000 0.000 0.000
Sr 0.000 0.500 0.199
Sr 0.500 0.000 0.699
Sr 0.500 0.500 0.500
Al 0.000 0.500 0.797
Al 0.500 0.000 0.297
Ni 0.000 0.000 0.418
Ni 0.500 0.500 0.918

Values from the calculation:
Energy = -26.21 eV for the cell shown
Total moment = 0.00 Bohr magnetons per cell
Formation energy from the elements = -0.05 eV per atom
SG = Imm2

Record 25
Here is crystalline Pm4Ge2Bi at its relaxed geometry from the Alexandria database. Energies are from PBE.

a b c (Å): 8.379 8.379 8.379
angles (deg): 109.43 109.43 109.55
Fractional positions:
Pm 0.209 0.279 0.569
Pm 0.209 0.640 0.931
Pm 0.279 0.209 0.069
Pm 0.360 0.791 0.569
Pm 0.640 0.209 0.431
Pm 0.721 0.791 0.931
Pm 0.791 0.360 0.069
Pm 0.791 0.721 0.431
Ge 0.000 0.500 0.500
Ge 0.500 0.000 0.000
Ge 0.500 0.500 0.000
Ge 0.500 0.500 0.500
Bi 0.125 0.875 0.250
Bi 0.875 0.125 0.750

Values from the calculation:
Energy = -73.72 eV for the cell shown
Total moment = 0.00 Bohr magnetons per cell
Formation energy from the elements = -0.68 eV per atom
SG = I4_1/amd

Record 26
Here is crystalline TbHoScRu at its relaxed geometry from the Alexandria database. Energies are from PBE.

a b c (Å): 7.136 7.136 7.136
angles (deg): 90.00 90.00 90.00
Fractional positions:
Tb 0.000 0.000 0.000
Tb 0.000 0.500 0.500
Tb 0.500 0.000 0.500
Tb 0.500 0.500 0.000
Ho 0.000 0.000 0.500
Ho 0.000 0.500 0.000
Ho 0.500 0.000 0.000
Ho 0.500 0.500 0.500
Sc 0.250 0.250 0.250
Sc 0.250 0.750 0.750
Sc 0.750 0.250 0.750
Sc 0.750 0.750 0.250
Ru 0.250 0.250 0.750
Ru 0.250 0.750 0.250
Ru 0.750 0.250 0.250
Ru 0.750 0.750 0.750

Values from the calculation:
Energy = -99.79 eV for the cell shown
Total moment = 0.00 Bohr magnetons per cell
Formation energy from the elements = -0.03 eV per atom
SG = F-43m